The following is a PBE calculation of a relaxed structure of TlP2W, from Alexandria via LeMat-Bulk.

Unit cell a=4.615 b=3.593 c=4.773 alpha=67.85 beta=90.00 gamma=90.00
Fractional positions:
P 0.000 0.820 0.985
P 0.500 0.218 0.188
Tl 0.000 0.540 0.545
W 0.500 0.921 0.782

Summary:
Crystal system: orthorhombic
Polymorph energy (0 for the lowest one): 0.4147 eV/atom
Uncorrected energy: -24.49 eV/cell